[1]
# Mn3TlBr, optimized geometry, DFT PBE-GGA
data_Mn3TlBr
_chemical_formula_sum 'Mn3 Tl1 Br1'
_cell_length_a 5.3013
_cell_length_b 5.3013
_cell_length_c 5.3013
_cell_angle_alpha 90.00
_cell_angle_beta 90.00
_cell_angle_gamma 90.00
_symmetry_space_group_name_H-M 'P 1'
_symmetry_Int_Tables_number 1
loop_
_symmetry_equiv_pos_as_xyz
'x,y,z'
loop_
_atom_site_label
_atom_site_fract_x
_atom_site_fract_y
_atom_site_fract_z
Mn1 0.0000 0.0000 0.5000
Mn2 0.0000 0.5000 0.0000
Mn3 0.5000 0.0000 0.0000
Tl1 0.0000 0.0000 0.0000
Br1 0.5000 0.5000 0.5000
# Mass density, Mg/m³: 5.01
# Relative energy among the computed polymorphs, eV per formula unit: 0.24
# E_form (uncorrected), eV/atom: 0.99
# M_tot, μB per cell: 14.754
# DFT total energy, eV/atom: -5.324

[2]
# CoCu2AgH, optimized geometry, DFT PBE-GGA
data_CoCu2AgH
_chemical_formula_sum 'Co1 Cu2 Ag1 H1'
_cell_length_a 3.9365
_cell_length_b 3.9365
_cell_length_c 3.5239
_cell_angle_alpha 90.00
_cell_angle_beta 90.00
_cell_angle_gamma 90.00
_symmetry_space_group_name_H-M 'P 1'
_symmetry_Int_Tables_number 1
loop_
_symmetry_equiv_pos_as_xyz
'x,y,z'
loop_
_atom_site_label
_atom_site_fract_x
_atom_site_fract_y
_atom_site_fract_z
Co1 0.0000 0.0000 0.0000
Cu1 0.0000 0.5000 0.5000
Cu2 0.5000 0.0000 0.5000
Ag1 0.5000 0.5000 0.0000
H1 0.0000 0.0000 0.5000
# Mass density, Mg/m³: 8.97
# M_tot, μB per cell: 0.749
# DFT total energy, eV/atom: -4.089

[3]
# La2PmPrSb4, optimized geometry, DFT PBE-GGA
data_La2PmPrSb4
_chemical_formula_sum 'La2 Pm1 Pr1 Sb4'
_cell_length_a 7.9247
_cell_length_b 4.5788
_cell_length_c 7.9254
_cell_angle_alpha 90.00
_cell_angle_beta 109.47
_cell_angle_gamma 90.00
_symmetry_space_group_name_H-M 'P 1'
_symmetry_Int_Tables_number 1
loop_
_symmetry_equiv_pos_as_xyz
'x,y,z'
loop_
_atom_site_label
_atom_site_fract_x
_atom_site_fract_y
_atom_site_fract_z
La1 0.0000 0.0000 0.0000
La2 0.5000 0.5000 0.0000
Pm1 0.0000 0.5000 0.5000
Pr1 0.5000 0.0000 0.5000
Sb1 0.2466 0.0000 0.7450
Sb2 0.2494 0.5000 0.2537
Sb3 0.7506 0.5000 0.7463
Sb4 0.7534 0.0000 0.2550
# Mass density, Mg/m³: 6.44
# E_form (uncorrected), eV/atom: -1.23
# M_tot, μB per cell: 0.000
# DFT total energy, eV/atom: -5.717

> The lowest DFT total energy belongs to which entry?

La2PmPrSb4

> Number 1 is which compound?

Mn3TlBr

Repeat the third record exactly.
# La2PmPrSb4, optimized geometry, DFT PBE-GGA
data_La2PmPrSb4
_chemical_formula_sum 'La2 Pm1 Pr1 Sb4'
_cell_length_a 7.9247
_cell_length_b 4.5788
_cell_length_c 7.9254
_cell_angle_alpha 90.00
_cell_angle_beta 109.47
_cell_angle_gamma 90.00
_symmetry_space_group_name_H-M 'P 1'
_symmetry_Int_Tables_number 1
loop_
_symmetry_equiv_pos_as_xyz
'x,y,z'
loop_
_atom_site_label
_atom_site_fract_x
_atom_site_fract_y
_atom_site_fract_z
La1 0.0000 0.0000 0.0000
La2 0.5000 0.5000 0.0000
Pm1 0.0000 0.5000 0.5000
Pr1 0.5000 0.0000 0.5000
Sb1 0.2466 0.0000 0.7450
Sb2 0.2494 0.5000 0.2537
Sb3 0.7506 0.5000 0.7463
Sb4 0.7534 0.0000 0.2550
# Mass density, Mg/m³: 6.44
# E_form (uncorrected), eV/atom: -1.23
# M_tot, μB per cell: 0.000
# DFT total energy, eV/atom: -5.717

> Among the records above, which one has the highest mass density?

CoCu2AgH